Entry 1:
First-principles (meta-GGA SCAN) data for a crystal of AlNiAs2 relaxed with PBEsol, as listed in Alexandria.

Cell: 3.5657 3.5657 17.5197 Å, 90.00 90.00 120.00°
With the nearest neighbours (Å) after each atom.
Space group R-3m (No. 166, hexagonal axes)
Symmetry-distinct sites (fractional):
Al1 0.0000 0.0000 0.0000 [3 per cell]  6 As 2.65
Ni1 0.0000 0.0000 0.5000 [3 per cell]  6 As 2.41
As1 0.0000 0.0000 0.2383 [6 per cell]  3 Ni 2.41, 3 Al 2.65

Values from the calculation:
Its crystal system is trigonal. The calculation puts the spin magnetization at 0.00 μB per atom. The value obtained for the calculated total energy is -16.20 eV/atom. Its formation energy is -0.128 eV/atom.

=====

Entry 2:
First-principles (meta-GGA SCAN) data for a crystal of AlNiAs2 relaxed with PBEsol, as listed in Alexandria.

Cell: 4.2048 4.2048 3.4240 Å, 90.00 90.00 90.00°
With the nearest neighbours (Å) after each atom.
Space group P4/mmm (No. 123)
Symmetry-distinct sites (fractional):
Al1 0.0000 0.0000 0.0000 [1 per cell]  8 As 2.71, 4 Ni 2.97
Ni1 0.5000 0.5000 0.0000 [1 per cell]  8 As 2.71, 4 Al 2.97
As1 0.0000 0.5000 0.5000 [2 per cell]  4 Ni 2.71, 4 Al 2.71, 4 As 2.97

Values from the calculation:
Its crystal system is tetragonal. The calculation puts the spin magnetization at 0.00 μB per atom. The value obtained for the calculated total energy is -15.90 eV/atom. Its formation energy is 0.174 eV/atom.

=====

Entry 3:
First-principles (meta-GGA SCAN) data for a crystal of Al2NiAs relaxed with PBEsol, as listed in Alexandria.

Cell: 3.7494 3.5791 8.8971 Å, 90.00 90.00 90.00°
With the nearest neighbours (Å) after each atom.
Space group Amm2 (No. 38)
Symmetry-distinct sites (fractional):
Al1 0.0000 0.0000 0.0000 [2 per cell]  3 As 2.48-2.66, 4 Ni 2.65
Al2 0.5000 0.0000 0.2909 [2 per cell]  1 Ni 2.40, 4 As 2.67
Ni1 0.5000 0.0000 0.5612 [2 per cell]  2 As 2.35, 1 Al 2.40
As1 0.0000 0.0000 0.7208 [2 per cell]  2 Ni 2.35, 1 Al 2.48

Values from the calculation:
Its crystal system is orthorhombic. The calculation puts the spin magnetization at 0.00 μB per atom. The value obtained for the calculated total energy is -13.23 eV/atom. Its formation energy is -0.264 eV/atom.

=====

Entry 4:
First-principles (meta-GGA SCAN) data for a crystal of AlNi4As relaxed with PBEsol, as listed in Alexandria.

Cell: 6.6136 6.6136 6.6136 Å, 90.00 90.00 90.00°
With the nearest neighbours (Å) after each atom.
Space group F-43m (No. 216)
Symmetry-distinct sites (fractional):
Al1 0.0000 0.0000 0.0000 [4 per cell]  12 Ni 2.74, 4 As 2.86
Ni1 0.1252 0.1252 0.3748 [16 per cell]  6 Ni 2.33-2.34
As1 0.2500 0.2500 0.7500 [4 per cell]  12 Ni 2.74, 4 Al 2.86

Values from the calculation:
Its crystal system is cubic. The calculation puts the spin magnetization at 0.00 μB per atom. The value obtained for the calculated total energy is -15.50 eV/atom. Its formation energy is -0.061 eV/atom.

=====

Entry 5:
First-principles (meta-GGA SCAN) data for a crystal of Al2AsO relaxed with PBEsol, as listed in Alexandria.

Cell: 5.9965 5.9965 5.9965 Å, 90.00 90.00 90.00°
With the nearest neighbours (Å) after each atom.
Space group Fm-3m (No. 225)
Symmetry-distinct sites (fractional):
Al1 0.2500 0.2500 0.2500 [8 per cell]  4 O 2.60, 4 As 2.60
As1 0.0000 0.0000 0.0000 [4 per cell]  8 Al 2.60
O1 0.0000 0.0000 0.5000 [4 per cell]  8 Al 2.60

Values from the calculation:
Its crystal system is cubic. The calculation puts the spin magnetization at 0.00 μB per atom. The value obtained for the calculated total energy is -10.71 eV/atom. The value obtained for the formation energy from raw total energies is -232.9 meV per atom.

=====

Entry 6:
First-principles (meta-GGA SCAN) data for a crystal of AlAsO4 relaxed with PBEsol, as listed in Alexandria.

Cell: 5.1276 5.1276 7.5637 Å, 90.00 90.00 90.00°
With the nearest neighbours (Å) after each atom.
Space group I-4 (No. 82)
Symmetry-distinct sites (fractional):
Al1 0.0000 0.0000 0.0000 [2 per cell]  4 O 1.76
As1 0.0000 0.5000 0.7500 [2 per cell]  4 O 1.70
O1 0.1293 0.7422 0.8749 [8 per cell]  1 As 1.70, 1 Al 1.76

Values from the calculation:
Its crystal system is tetragonal. The calculation puts the spin magnetization at 0.02 μB per atom. The value obtained for the calculated total energy is -10.98 eV/atom. The value obtained for the formation energy from raw total energies is -2169.3 meV per atom.

=====

Entry 7:
First-principles (meta-GGA SCAN) data for a crystal of AlAsO4 relaxed with PBEsol, as listed in Alexandria.

Cell: 5.0450 5.0450 11.3229 Å, 90.00 90.00 120.00°
With the nearest neighbours (Å) after each atom.
Space group P3_121 (No. 152)
Symmetry-distinct sites (fractional):
Al1 0.0000 0.5432 0.1667 [3 per cell]  4 O 1.76
As1 0.0000 0.5453 0.6667 [3 per cell]  4 O 1.69-1.70
O1 0.1048 0.4043 0.5507 [6 per cell]  1 As 1.70, 1 Al 1.76
O2 0.1118 0.4020 0.0457 [6 per cell]  1 As 1.69, 1 Al 1.76

Values from the calculation:
Its crystal system is trigonal. The calculation puts the spin magnetization at 0.00 μB per atom. The value obtained for the calculated total energy is -10.99 eV/atom. The value obtained for the formation energy from raw total energies is -2182.7 meV per atom.

=====

Entry 8:
First-principles (meta-GGA SCAN) data for a crystal of AlAsOs2O relaxed with PBEsol, as listed in Alexandria.

Cell: 4.4878 4.4878 4.5420 Å, 90.00 90.00 90.00°
With the nearest neighbours (Å) after each atom.
Space group P4/mmm (No. 123)
Symmetry-distinct sites (fractional):
Al1 0.0000 0.0000 0.0000 [1 per cell]  4 Os 2.24, 2 As 2.27
As1 0.0000 0.0000 0.5000 [1 per cell]  2 Al 2.27
Os1 0.0000 0.5000 0.0000 [2 per cell]  2 Al 2.24
O1 0.5000 0.5000 0.5000 [1 per cell]  4 As 3.17, 8 Os 3.19

Values from the calculation:
Its crystal system is tetragonal. The calculation puts the spin magnetization at 0.48 μB per atom. The value obtained for the calculated total energy is -33.45 eV/atom. The value obtained for the formation energy from raw total energies is 2138.9 meV per atom.

=====

Entry 9:
First-principles (meta-GGA SCAN) data for a crystal of Al2AsOs relaxed with PBEsol, as listed in Alexandria.

Cell: 4.1652 3.1297 9.3308 Å, 90.00 90.00 90.00°
With the nearest neighbours (Å) after each atom.
Space group Amm2 (No. 38)
Symmetry-distinct sites (fractional):
Al1 0.0000 0.0000 0.0000 [2 per cell]  3 As 2.48-2.68, 4 Os 2.72
Al2 0.5000 0.0000 0.3106 [2 per cell]  3 Os 2.54-2.64, 4 As 2.70
As1 0.0000 0.0000 0.7337 [2 per cell]  7 Al 2.48-2.70, 2 Os 2.51
Os1 0.5000 0.0000 0.5829 [2 per cell]  2 As 2.51, 7 Al 2.54-2.72

Values from the calculation:
Its crystal system is orthorhombic. The calculation puts the spin magnetization at 0.00 μB per atom. The value obtained for the calculated total energy is -27.17 eV/atom. Its formation energy is -0.281 eV/atom.

=====

Entry 10:
First-principles (meta-GGA SCAN) data for a crystal of Al3AsOs relaxed with PBEsol, as listed in Alexandria.

Cell: 4.6932 4.6932 4.6932 Å, 90.00 90.00 90.00°
With the nearest neighbours (Å) after each atom.
Space group Pm-3m (No. 221)
Symmetry-distinct sites (fractional):
Al1 0.0000 0.0000 0.5000 [3 per cell]  2 Os 2.35
As1 0.5000 0.5000 0.5000 [1 per cell]  12 Al 3.32
Os1 0.0000 0.0000 0.0000 [1 per cell]  6 Al 2.35

Values from the calculation:
Its crystal system is cubic. The calculation puts the spin magnetization at 0.00 μB per atom. The value obtained for the calculated total energy is -22.77 eV/atom. Its formation energy is 0.299 eV/atom.

=====

Entry 11:
First-principles (meta-GGA SCAN) data for a crystal of Al2AsOs relaxed with PBEsol, as listed in Alexandria.

Cell: 3.8753 3.8753 7.7433 Å, 90.00 90.00 90.00°
With the nearest neighbours (Å) after each atom.
Space group I4/mmm (No. 139)
Symmetry-distinct sites (fractional):
Al1 0.0000 0.5000 0.2500 [4 per cell]  4 As 2.74, 4 Os 2.74, 4 Al 2.74
As1 0.0000 0.0000 0.0000 [2 per cell]  8 Al 2.74, 4 Os 2.74
Os1 0.0000 0.0000 0.5000 [2 per cell]  8 Al 2.74, 4 As 2.74

Values from the calculation:
Its crystal system is tetragonal. The calculation puts the spin magnetization at 0.00 μB per atom. The value obtained for the calculated total energy is -26.93 eV/atom. Its formation energy is -0.040 eV/atom.

=====

Entry 12:
First-principles (meta-GGA SCAN) data for a crystal of AlAsPSe2 relaxed with PBEsol, as listed in Alexandria.

Cell: 4.7227 4.7227 4.7943 Å, 90.00 90.00 90.00°
With the nearest neighbours (Å) after each atom.
Space group P4/mmm (No. 123)
Symmetry-distinct sites (fractional):
Al1 0.0000 0.0000 0.0000 [1 per cell]  4 Se 2.36, 2 As 2.40
As1 0.0000 0.0000 0.5000 [1 per cell]  2 Al 2.40
P1 0.5000 0.5000 0.5000 [1 per cell]  4 As 3.34, 8 Se 3.36
Se1 0.0000 0.5000 0.0000 [2 per cell]  2 Al 2.36

Values from the calculation:
The value obtained for the energy above the lowest structure with this stoichiometry is 0.087 eV per atom. Its crystal system is tetragonal. The calculation puts the spin magnetization at 0.00 μB per atom. The value obtained for the calculated total energy is -15.03 eV/atom. The value obtained for the formation energy from raw total energies is 670.8 meV per atom.

=====

Entry 13:
First-principles (meta-GGA SCAN) data for a crystal of AlAs2PSe relaxed with PBEsol, as listed in Alexandria.

Cell: 4.7440 4.7440 4.7030 Å, 90.00 90.00 90.00°
With the nearest neighbours (Å) after each atom.
Space group P4/mmm (No. 123)
Symmetry-distinct sites (fractional):
Al1 0.0000 0.0000 0.0000 [1 per cell]  8 As 3.34, 4 Se 3.35
As1 0.0000 0.5000 0.5000 [2 per cell]  2 P 2.37
P1 0.5000 0.5000 0.5000 [1 per cell]  2 Se 2.35, 4 As 2.37
Se1 0.5000 0.5000 0.0000 [1 per cell]  2 P 2.35

Values from the calculation:
Its crystal system is tetragonal. The calculation puts the spin magnetization at 0.08 μB per atom. The value obtained for the calculated total energy is -15.03 eV/atom. The value obtained for the formation energy from raw total energies is 696.6 meV per atom.

=====

Entry 14:
First-principles (meta-GGA SCAN) data for a crystal of AlAsPSe2 relaxed with PBEsol, as listed in Alexandria.

Cell: 4.7338 4.7338 4.7822 Å, 90.00 90.00 90.00°
With the nearest neighbours (Å) after each atom.
Space group P4/mmm (No. 123)
Symmetry-distinct sites (fractional):
Al1 0.0000 0.0000 0.0000 [1 per cell]  4 As 3.35, 8 Se 3.36
As1 0.5000 0.5000 0.0000 [1 per cell]  2 P 2.39
P1 0.5000 0.5000 0.5000 [1 per cell]  4 Se 2.37, 2 As 2.39
Se1 0.0000 0.5000 0.5000 [2 per cell]  2 P 2.37

Values from the calculation:
The value obtained for the energy above the lowest structure with this stoichiometry is 0.000 eV per atom. Its crystal system is tetragonal. The calculation puts the spin magnetization at 0.00 μB per atom. The value obtained for the calculated total energy is -15.12 eV/atom. The value obtained for the formation energy from raw total energies is 584.2 meV per atom.